Computed, not measured: crystalline Tb2InO4 at its relaxed geometry at the PBE level of DFT.

Calculated values
volume	16.07	A^3/atom
E_tot	-7.249	eV/atom
theoretical density	7.33	g/cm³
crystal system	cubic

```
14
Lattice="4.8266 -4.8274 0.0000 -4.8266 0.0000 -4.8274 4.8266 4.8274 0.0000" Properties=species:S:1:pos:R:3 pbc="T T T"
O 3.4972 3.4973 -1.3301
O 3.4972 1.3301 -3.4973
O 5.9105 1.0836 -1.0836
O 1.3295 3.4973 -3.4973
O 3.7428 -1.0836 -1.0836
O 1.0838 -1.0836 -3.7438
O -1.0838 1.0836 -3.7438
O 1.3295 1.3301 -1.3301
In 2.4133 -2.4137 -2.4137
In 0.0000 0.0000 0.0000
Tb 6.0333 -1.2068 -1.2068
Tb 3.6200 1.2068 -1.2068
Tb -1.2067 -1.2068 -3.6205
Tb 1.2067 1.2068 -3.6205
```